(a)
Below is an optimized crystal structure of Ce4Hg3Bi, with properties calculated at the PBE level.

Lattice parameters (Å, degrees): 11.2930 7.1529 5.6669 90.00 90.00 90.00
Closest atoms and distances in Å follow each position.
Space group Pmma (No. 51)
Unique sites:
Ce  0.0000  0.2480  0.0000 (multiplicity 4)  6 Hg 3.34-3.35, 2 Bi 3.36, 2 Ce 3.55-3.61
Ce  0.2500  0.2485  0.4657 (multiplicity 4)  6 Hg 3.32-3.38, 2 Bi 3.35, 2 Ce 3.55-3.60
Hg  0.0000  0.0000  0.5000 (multiplicity 2)  8 Ce 3.34, 2 Bi 3.58
Hg  0.2500  0.0000  0.9605 (multiplicity 2)  8 Ce 3.32-3.37, 2 Hg 3.58
Hg  0.2500  0.5000  0.9704 (multiplicity 2)  8 Ce 3.33-3.38, 2 Hg 3.58
Bi  0.0000  0.5000  0.5000 (multiplicity 2)  8 Ce 3.35-3.36, 2 Hg 3.58

Calculated values
Crystal system: orthorhombic
Calculated volume, Å³ per atom: 28.610

(b)
Below is an optimized crystal structure of Ce4Hg3Bi, with properties calculated at the PBE level.

Lattice parameters (Å, degrees): 14.9551 5.5057 5.4480 90.00 107.51 90.00
Closest atoms and distances in Å follow each position.
Space group C2/m (No. 12)
Unique sites:
Ce  0.1260  0.0000  0.1050 (multiplicity 4)  1 Ce 2.72
Ce  0.2421  0.0000  0.8044 (multiplicity 4)  1 Ce 2.72
Hg  0.0000  0.5000  0.0000 (multiplicity 2)  4 Hg 3.26-3.38, 4 Ce 3.29
Hg  0.1334  0.5000  0.5966 (multiplicity 4)  5 Ce 3.22-3.47, 2 Hg 3.26-3.38, 2 Bi 3.35
Bi  0.0000  0.0000  0.5000 (multiplicity 2)  6 Ce 3.26-3.50, 4 Hg 3.35

Calculated values
Crystal system: monoclinic
Calculated volume, Å³ per atom: 26.736

(a) ends up most stable, edging out the next structure by 15.2 kJ/mol of atoms.

(a)
Below is an optimized crystal structure of CeInHgBi, with properties calculated at the PBE level.

Lattice parameters (Å, degrees): 7.7038 7.7038 7.7038 90.00 90.00 90.00
Closest atoms and distances in Å follow each position.
Space group F-43m (No. 216)
Unique sites:
Ce  0.0000  0.0000  0.0000 (multiplicity 4)  4 Hg 3.34, 4 Bi 3.34
In  0.0000  0.0000  0.5000 (multiplicity 4)  4 Bi 3.34, 4 Hg 3.34
Hg  0.2500  0.2500  0.7500 (multiplicity 4)  4 In 3.34, 4 Ce 3.34
Bi  0.2500  0.2500  0.2500 (multiplicity 4)  4 In 3.34, 4 Ce 3.34

Calculated values
Crystal system: cubic
Calculated volume, Å³ per atom: 28.575

(b)
Below is an optimized crystal structure of CeInHgBi, with properties calculated at the PBE level.

Lattice parameters (Å, degrees): 4.6260 4.6459 5.0933 90.00 90.00 90.00
Closest atoms and distances in Å follow each position.
Space group Pmmm (No. 47)
Unique sites:
Ce  0.0000  0.0000  0.0000 (multiplicity 1)  4 Bi 3.28, 4 Hg 3.44, 4 In 3.45
In  0.0000  0.5000  0.5000 (multiplicity 1)  4 Hg 3.28, 4 Bi 3.44, 4 Ce 3.45
Hg  0.5000  0.0000  0.5000 (multiplicity 1)  4 In 3.28, 4 Ce 3.44, 4 Bi 3.45
Bi  0.5000  0.5000  0.0000 (multiplicity 1)  4 Ce 3.28, 4 In 3.44, 4 Hg 3.45

Calculated values
Crystal system: orthorhombic
Calculated volume, Å³ per atom: 27.367

(b) ends up most stable, edging out the next structure by 15.4 kJ/mol of atoms.

(a)
Below is an optimized crystal structure of CeMgHgBi, with properties calculated at the PBE level.

Lattice parameters (Å, degrees): 4.3561 4.7843 5.1969 90.00 90.00 90.00
Closest atoms and distances in Å follow each position.
Space group Pmmm (No. 47)
Unique sites:
Ce  0.0000  0.0000  0.0000 (multiplicity 1)  4 Bi 3.24, 4 Hg 3.39, 4 Mg 3.53
Mg  0.0000  0.5000  0.5000 (multiplicity 1)  4 Hg 3.24, 4 Bi 3.39, 4 Ce 3.53
Hg  0.5000  0.0000  0.5000 (multiplicity 1)  4 Mg 3.24, 4 Ce 3.39, 4 Bi 3.53
Bi  0.5000  0.5000  0.0000 (multiplicity 1)  4 Ce 3.24, 4 Mg 3.39, 4 Hg 3.53

Calculated values
Crystal system: orthorhombic
Calculated volume, Å³ per atom: 27.077

(b)
Below is an optimized crystal structure of CeMgHgBi, with properties calculated at the PBE level.

Lattice parameters (Å, degrees): 7.5573 7.5573 7.5573 90.00 90.00 90.00
Closest atoms and distances in Å follow each position.
Space group F-43m (No. 216)
Unique sites:
Ce  0.0000  0.0000  0.0000 (multiplicity 4)  4 Hg 3.27, 4 Bi 3.27
Mg  0.0000  0.0000  0.5000 (multiplicity 4)  4 Bi 3.27, 4 Hg 3.27
Hg  0.2500  0.2500  0.7500 (multiplicity 4)  4 Mg 3.27, 4 Ce 3.27
Bi  0.2500  0.2500  0.2500 (multiplicity 4)  4 Ce 3.27, 4 Mg 3.27

Calculated values
Crystal system: cubic
Calculated volume, Å³ per atom: 26.976

(a) ends up most stable, edging out the next structure by 7.9 kJ/mol of atoms.

(a)
Below is an optimized crystal structure of CeHgBiSb, with properties calculated at the PBE level.

Lattice parameters (Å, degrees): 7.6982 7.6982 7.6982 90.00 90.00 90.00
Closest atoms and distances in Å follow each position.
Space group F-43m (No. 216)
Unique sites:
Ce  0.0000  0.0000  0.0000 (multiplicity 4)  4 Sb 3.33, 4 Hg 3.33
Hg  0.2500  0.2500  0.2500 (multiplicity 4)  4 Ce 3.33, 4 Bi 3.33
Bi  0.0000  0.0000  0.5000 (multiplicity 4)  4 Hg 3.33, 4 Sb 3.33
Sb  0.2500  0.2500  0.7500 (multiplicity 4)  4 Ce 3.33, 4 Bi 3.33

Calculated values
Crystal system: cubic
Calculated volume, Å³ per atom: 28.514

(b)
Below is an optimized crystal structure of CeHgBiSb, with properties calculated at the PBE level.

Lattice parameters (Å, degrees): 4.4312 4.8373 5.0623 90.00 90.00 90.00
Closest atoms and distances in Å follow each position.
Space group Pmmm (No. 47)
Unique sites:
Ce  0.0000  0.0000  0.0000 (multiplicity 1)  4 Sb 3.28, 4 Bi 3.36, 4 Hg 3.50
Hg  0.0000  0.5000  0.5000 (multiplicity 1)  4 Bi 3.28, 4 Sb 3.36, 4 Ce 3.50
Bi  0.5000  0.0000  0.5000 (multiplicity 1)  4 Hg 3.28, 4 Ce 3.36, 4 Sb 3.50
Sb  0.5000  0.5000  0.0000 (multiplicity 1)  4 Ce 3.28, 4 Hg 3.36, 4 Bi 3.50

Calculated values
Crystal system: orthorhombic
Calculated volume, Å³ per atom: 27.128

(b) ends up most stable, edging out the next structure by 16.9 kJ/mol of atoms.

(a)
Below is an optimized crystal structure of Ce2HoBi, with properties calculated at the PBE level.

Lattice parameters (Å, degrees): 3.4392 3.4392 37.0530 90.00 90.00 120.00
Closest atoms and distances in Å follow each position.
Space group R-3m (No. 166, hexagonal axes)
Unique sites:
Ce  0.0000  0.0000  0.0881 (multiplicity 6)  1 Bi 3.26, 6 Ce 3.44, 3 Ho 3.52
Ho  0.0000  0.0000  0.5000 (multiplicity 3)  6 Ho 3.44, 6 Ce 3.52
Bi  0.0000  0.0000  0.0000 (multiplicity 3)  2 Ce 3.26, 6 Bi 3.44

Calculated values
Crystal system: trigonal
Calculated volume, Å³ per atom: 31.630

(b)
Below is an optimized crystal structure of Ce2HoBi, with properties calculated at the PBE level.

Lattice parameters (Å, degrees): 4.4699 4.3735 11.7750 90.00 100.59 90.00
Closest atoms and distances in Å follow each position.
Space group P2_1/m (No. 11)
Unique sites:
Ce  0.0011  0.2500  0.3831 (multiplicity 2)  2 Ce 2.82
Ce  0.4038  0.7500  0.3891 (multiplicity 2)  2 Ce 2.82
Ho  0.3045  0.2500  0.1127 (multiplicity 2)  5 Bi 3.16-3.19
Bi  0.1763  0.2500  0.8386 (multiplicity 2)  5 Ho 3.16-3.19, 3 Ce 3.37-3.39

Calculated values
Crystal system: monoclinic
Calculated volume, Å³ per atom: 28.283

(c)
Below is an optimized crystal structure of Ce2HoBi, with properties calculated at the PBE level.

Lattice parameters (Å, degrees): 4.6274 4.6274 5.2051 90.00 90.00 90.00
Closest atoms and distances in Å follow each position.
Space group P4/mmm (No. 123)
Unique sites:
Ce  0.0000  0.5000  0.0000 (multiplicity 2)  4 Ce 3.27, 4 Ho 3.48, 4 Bi 3.48
Ho  0.0000  0.0000  0.5000 (multiplicity 1)  4 Bi 3.27, 8 Ce 3.48
Bi  0.5000  0.5000  0.5000 (multiplicity 1)  4 Ho 3.27, 8 Ce 3.48

Calculated values
Crystal system: tetragonal
Calculated volume, Å³ per atom: 27.864

(b) ends up most stable, edging out the next structure by 4.7 kJ/mol of atoms.

(a)
Below is an optimized crystal structure of CeHoBi2, with properties calculated at the PBE level.

Lattice parameters (Å, degrees): 4.5004 4.5004 23.0576 90.00 90.00 120.00
Closest atoms and distances in Å follow each position.
Space group R3m (No. 160, hexagonal axes)
Unique sites:
Ce  0.0000  0.0000  0.0000 (multiplicity 3)  6 Bi 3.21-3.28
Ho  0.0000  0.0000  0.1712 (multiplicity 3)  6 Bi 3.19-3.25
Bi  0.0000  0.0000  0.4198 (multiplicity 3)  3 Ho 3.25, 3 Ce 3.28
Bi  0.0000  0.0000  0.5846 (multiplicity 3)  3 Ho 3.19, 3 Ce 3.21

Calculated values
Crystal system: trigonal
Calculated volume, Å³ per atom: 33.703

(b)
Below is an optimized crystal structure of CeHoBi2, with properties calculated at the PBE level.

Lattice parameters (Å, degrees): 4.5356 4.5356 22.1731 90.00 90.00 120.00
Closest atoms and distances in Å follow each position.
Space group R-3m (No. 166, hexagonal axes)
Unique sites:
Ce  0.0000  0.0000  0.0000 (multiplicity 3)  6 Bi 3.24
Ho  0.0000  0.0000  0.5000 (multiplicity 3)  6 Bi 3.17
Bi  0.0000  0.0000  0.2473 (multiplicity 6)  3 Ho 3.17, 3 Ce 3.24

Calculated values
Crystal system: trigonal
Calculated volume, Å³ per atom: 32.919

(b) ends up most stable, edging out the next structure by 10.8 kJ/mol of atoms.

(a)
Below is an optimized crystal structure of Ce2BiI, with properties calculated at the PBE level.

Lattice parameters (Å, degrees): 7.8810 7.8810 7.8810 90.00 90.00 90.00
Closest atoms and distances in Å follow each position.
Space group Fm-3m (No. 225)
Unique sites:
Ce  0.2500  0.2500  0.2500 (multiplicity 8)  4 Bi 3.41, 4 I 3.41
Bi  0.0000  0.0000  0.0000 (multiplicity 4)  8 Ce 3.41
I  0.0000  0.0000  0.5000 (multiplicity 4)  8 Ce 3.41

Calculated values
Crystal system: cubic
Calculated volume, Å³ per atom: 30.593

(b)
Below is an optimized crystal structure of Ce2BiI, with properties calculated at the PBE level.

Lattice parameters (Å, degrees): 8.9555 18.5323 7.6690 90.00 122.88 90.00
Closest atoms and distances in Å follow each position.
Space group C2/c (No. 15)
Unique sites:
Ce  0.2485  0.1875  0.2503 (multiplicity 8)  3 Bi 3.22-3.23, 3 I 3.22-3.23
Ce  0.2492  0.4375  0.2491 (multiplicity 8)  3 I 3.20-3.23, 3 Bi 3.22-3.23
Bi  0.0000  0.1880  0.7500 (multiplicity 4)  6 Ce 3.23
Bi  0.0000  0.4368  0.7500 (multiplicity 4)  6 Ce 3.22-3.23
I  0.0000  0.0613  0.2500 (multiplicity 4)  6 Ce 3.21-3.23
I  0.0000  0.3136  0.2500 (multiplicity 4)  6 Ce 3.20-3.23

Calculated values
Crystal system: monoclinic
Calculated volume, Å³ per atom: 33.402

(c)
Below is an optimized crystal structure of Ce2BiI, with properties calculated at the PBE level.

Lattice parameters (Å, degrees): 3.9449 3.9449 7.9392 90.00 90.00 90.00
Closest atoms and distances in Å follow each position.
Space group P4/mmm (No. 123)
Unique sites:
Ce  0.0000  0.0000  0.2334 (multiplicity 2)  4 Bi 3.35, 4 I 3.50, 1 Ce 3.71
Bi  0.5000  0.5000  0.0000 (multiplicity 1)  8 Ce 3.35
I  0.5000  0.5000  0.5000 (multiplicity 1)  8 Ce 3.50

Calculated values
Crystal system: tetragonal
Calculated volume, Å³ per atom: 30.889

(b) ends up most stable, edging out the next structure by 4.2 kJ/mol of atoms.

(a)
Below is an optimized crystal structure of Ce4BiI5, with properties calculated at the PBE level.

Lattice parameters (Å, degrees): 22.1012 4.1220 9.5088 90.00 102.40 90.00
Closest atoms and distances in Å follow each position.
Space group C2/m (No. 12)
Unique sites:
Ce  0.0606  0.0000  0.2644 (multiplicity 4)  1 Ce 2.65
Ce  0.0621  0.0000  0.7995 (multiplicity 4)  1 Ce 2.65
Bi  0.0000  0.5000  0.0000 (multiplicity 2)  8 Ce 3.30
I  0.0000  0.5000  0.5000 (multiplicity 2)  8 Ce 3.51-3.54
I  0.1702  0.5000  0.3453 (multiplicity 4)  2 Ce 3.15
I  0.1716  0.5000  0.8270 (multiplicity 4)  2 Ce 3.15

Calculated values
Crystal system: monoclinic
Calculated volume, Å³ per atom: 42.303

(b)
Below is an optimized crystal structure of Ce4BiI5, with properties calculated at the PBE level.

Lattice parameters (Å, degrees): 19.3909 4.3631 9.4330 90.00 100.12 90.00
Closest atoms and distances in Å follow each position.
Space group C2/m (No. 12)
Unique sites:
Ce  0.0021  0.0000  0.2402 (multiplicity 4)  2 Bi 3.14, 4 I 3.20-3.29
Ce  0.1682  0.5000  0.0620 (multiplicity 4)  1 Bi 3.21, 5 I 3.23-3.26
Bi  0.0000  0.5000  0.0000 (multiplicity 2)  6 Ce 3.14-3.21
I  0.0000  0.5000  0.5000 (multiplicity 2)  4 Ce 3.29
I  0.1668  0.0000  0.8040 (multiplicity 4)  4 Ce 3.23-3.26
I  0.1693  0.0000  0.3196 (multiplicity 4)  3 Ce 3.20-3.26

Calculated values
Crystal system: monoclinic
Calculated volume, Å³ per atom: 39.282

(b) ends up most stable, edging out the next structure by 19.8 kJ/mol of atoms.